DFT (PBE-GGA) results for a relaxed structure of As4P.

Properties
Formation energy = 0.487 eV per atom
Energy above the lowest structure with this stoichiometry = 12 meV/atom

Unit cell a=5.9707 b=5.9707 c=5.9707 alpha=90.00 beta=90.00 gamma=90.00
Space group Im-3m (No. 229)
Asymmetric unit:
As: 0.2500 0.2500 0.2500 (multiplicity 8)
P: 0.0000 0.0000 0.0000 (multiplicity 2)